No. 1
Compound: Pa2MnCrS6
Source: Alexandria
Functional: PBE
Structure: relaxed

abc: 6.997 6.997 6.997
angles: 54.69 54.69 54.69
Fractional positions:
Pa 0.000 0.000 0.000
Pa 0.498 0.498 0.498
Mn 0.319 0.319 0.319
Cr 0.820 0.820 0.820
S 0.062 0.447 0.700
S 0.193 0.938 0.572
S 0.447 0.700 0.062
S 0.572 0.193 0.938
S 0.700 0.062 0.447
S 0.938 0.572 0.193

Results
Calculated density = 5.96 g/cm3
Space group = No. 146
Volume = 212.20 Å³/f.u.
Raw total energy = -7.3774 eV per atom
Crystal system = trigonal
Magnetic moment = 6.0 μB per cell

---

No. 2
Compound: Zr3Te3C
Source: Alexandria
Functional: PBE
Structure: relaxed

abc: 8.054 3.683 11.028
angles: 90.00 91.39 90.00
Fractional positions:
Zr 0.090 0.250 0.399
Zr 0.111 0.250 0.823
Zr 0.298 0.750 0.615
Zr 0.702 0.250 0.385
Zr 0.889 0.750 0.177
Zr 0.910 0.750 0.601
Te 0.151 0.250 0.125
Te 0.378 0.750 0.872
Te 0.383 0.750 0.365
Te 0.617 0.250 0.635
Te 0.622 0.250 0.128
Te 0.849 0.750 0.875
C 0.113 0.250 0.615
C 0.887 0.750 0.385

Results
Calculated density = 6.79 g/cm3
Space group = No. 11
Volume = 163.52 Å³/f.u.
Raw total energy = -7.1939 eV per atom
Crystal system = monoclinic
Magnetic moment = 0.0 μB per cell

---

No. 3
Compound: Ba2Ag5Bi3
Source: Alexandria
Functional: PBE
Structure: relaxed

abc: 5.024 5.024 12.051
angles: 90.00 90.00 90.00
Fractional positions:
Ba 0.000 0.500 0.219
Ba 0.500 0.000 0.781
Ag 0.000 0.000 0.000
Ag 0.000 0.000 0.500
Ag 0.000 0.500 0.901
Ag 0.500 0.000 0.099
Ag 0.500 0.500 0.000
Bi 0.000 0.500 0.662
Bi 0.500 0.000 0.338
Bi 0.500 0.500 0.500

Results
Calculated density = 7.87 g/cm3
Space group = No. 115
Volume = 304.20 Å³/f.u.
Crystal system = tetragonal
Magnetic moment = 0.0 μB per cell
DFT formation energy = -0.225 eV per atom

---

No. 4
Compound: AcTa4Se8
Source: Alexandria
Functional: PBE
Structure: relaxed

abc: 7.730 7.730 7.730
angles: 60.00 60.00 60.00
Fractional positions:
Ac 0.000 0.000 0.000
Ta 0.195 0.602 0.602
Ta 0.602 0.195 0.602
Ta 0.602 0.602 0.195
Ta 0.602 0.602 0.602
Se 0.369 0.369 0.369
Se 0.369 0.369 0.892
Se 0.369 0.892 0.369
Se 0.447 0.851 0.851
Se 0.851 0.447 0.851
Se 0.851 0.851 0.447
Se 0.851 0.851 0.851
Se 0.892 0.369 0.369

Results
Calculated density = 8.05 g/cm3
Space group = No. 216
Volume = 326.57 Å³/f.u.
Energy above the lowest structure with this stoichiometry = 70 meV/atom
Crystal system = cubic
Magnetic moment = 0.0 μB per cell

---

No. 5
Compound: LiPd2Pb2
Source: Alexandria
Functional: PBE
Structure: relaxed

abc: 7.463 7.463 3.758
angles: 90.00 90.00 90.00
Fractional positions:
Li 0.000 0.000 0.000
Li 0.500 0.500 0.000
Pd 0.136 0.364 0.000
Pd 0.364 0.864 0.000
Pd 0.636 0.136 0.000
Pd 0.864 0.636 0.000
Pb 0.165 0.665 0.500
Pb 0.335 0.165 0.500
Pb 0.665 0.835 0.500
Pb 0.835 0.335 0.500

Results
Calculated density = 10.06 g/cm3
Space group = No. 127
Volume = 104.67 Å³/f.u.
Energy above the lowest structure with this stoichiometry = 41 meV/atom
Crystal system = tetragonal
Magnetic moment = 0.0 μB per cell
DFT formation energy = -0.280 eV per atom

---

No. 6
Compound: SrAc2Pb9
Source: Alexandria
Functional: PBE
Structure: relaxed

abc: 5.049 5.049 15.180
angles: 90.00 90.00 90.00
Fractional positions:
Sr 0.000 0.000 0.000
Ac 0.000 0.000 0.334
Ac 0.000 0.000 0.666
Pb 0.000 0.500 0.164
Pb 0.000 0.500 0.500
Pb 0.000 0.500 0.836
Pb 0.500 0.000 0.164
Pb 0.500 0.000 0.500
Pb 0.500 0.000 0.836
Pb 0.500 0.500 0.000
Pb 0.500 0.500 0.332
Pb 0.500 0.500 0.668

Results
Calculated density = 10.33 g/cm3
Space group = No. 123
Volume = 386.95 Å³/f.u.
Crystal system = tetragonal
Magnetic moment = 0.0 μB per cell
DFT formation energy = -0.391 eV per atom

---

No. 7
Compound: PmTePd
Source: Alexandria
Functional: PBE
Structure: relaxed

abc: 4.785 4.785 4.785
angles: 60.00 60.00 60.00
Fractional positions:
Pm 0.000 0.000 0.000
Te 0.500 0.500 0.500
Pd 0.250 0.250 0.250

Results
Calculated density = 8.13 g/cm3
Space group = No. 216
Volume = 77.46 Å³/f.u.
Energy above the lowest structure with this stoichiometry = 107 meV/atom
Crystal system = cubic
Magnetic moment = 0.0 μB per cell

---

No. 8
Compound: FeSiSe2
Source: Alexandria
Functional: PBE
Structure: relaxed

abc: 4.663 4.663 3.151
angles: 90.00 90.00 90.00
Fractional positions:
Fe 0.000 0.000 0.000
Si 0.500 0.500 0.000
Se 0.000 0.500 0.500
Se 0.500 0.000 0.500

Results
Calculated density = 5.86 g/cm3
Space group = No. 123
Volume = 68.51 Å³/f.u.
Raw total energy = -4.7570 eV per atom
Crystal system = tetragonal
Magnetic moment = 2.9 μB per cell

---

No. 9
Compound: SbIr
Source: Alexandria
Functional: PBE
Structure: relaxed

abc: 6.877 7.541 8.705
angles: 90.00 90.00 90.00
Fractional positions:
Sb 0.199 0.055 0.285
Sb 0.222 0.431 0.920
Sb 0.278 0.569 0.420
Sb 0.301 0.945 0.785
Sb 0.699 0.445 0.715
Sb 0.722 0.069 0.080
Sb 0.778 0.931 0.580
Sb 0.801 0.555 0.215
Ir 0.126 0.380 0.212
Ir 0.141 0.864 0.528
Ir 0.359 0.136 0.028
Ir 0.374 0.620 0.712
Ir 0.626 0.120 0.788
Ir 0.641 0.636 0.472
Ir 0.859 0.364 0.972
Ir 0.874 0.880 0.288

Results
Calculated density = 9.24 g/cm3
Space group = No. 19
Volume = 56.43 Å³/f.u.
Raw total energy = -6.2797 eV per atom
Crystal system = orthorhombic
Magnetic moment = 0.0 μB per cell

---

No. 10
Compound: Pr12DyTh5
Source: Alexandria
Functional: PBE
Structure: relaxed

abc: 6.337 6.337 18.129
angles: 93.31 93.31 120.01
Fractional positions:
Pr 0.053 0.389 0.160
Pr 0.114 0.114 0.339
Pr 0.219 0.553 0.660
Pr 0.284 0.284 0.839
Pr 0.389 0.053 0.160
Pr 0.447 0.781 0.340
Pr 0.553 0.219 0.660
Pr 0.611 0.947 0.840
Pr 0.716 0.716 0.161
Pr 0.781 0.447 0.340
Pr 0.886 0.886 0.661
Pr 0.947 0.611 0.840
Dy 0.000 0.000 0.000
Th 0.166 0.834 0.500
Th 0.333 0.667 0.000
Th 0.500 0.500 0.500
Th 0.667 0.333 0.000
Th 0.834 0.166 0.500

Results
Calculated density = 7.99 g/cm3
Space group = No. 12
Volume = 626.10 Å³/f.u.
Crystal system = monoclinic
Magnetic moment = 0.0 μB per cell
DFT formation energy = 0.031 eV per atom

---

No. 11
Compound: NaSnIr
Source: Alexandria
Functional: PBE
Structure: relaxed

abc: 4.359 4.364 7.197
angles: 90.00 90.05 90.00
Fractional positions:
Na 0.249 0.250 0.174
Na 0.751 0.750 0.826
Sn 0.251 0.250 0.712
Sn 0.749 0.750 0.288
Ir 0.250 0.750 0.500
Ir 0.750 0.250 0.500

Results
Calculated density = 8.10 g/cm3
Space group = No. 11
Volume = 68.46 Å³/f.u.
Crystal system = monoclinic
Magnetic moment = 0.0 μB per cell
DFT formation energy = -0.211 eV per atom

---

No. 12
Compound: K4CaY
Source: Alexandria
Functional: PBE
Structure: relaxed

abc: 7.646 7.646 7.646
angles: 60.00 60.00 60.00
Fractional positions:
K 0.125 0.125 0.125
K 0.125 0.125 0.626
K 0.125 0.626 0.125
K 0.626 0.125 0.125
Ca 0.500 0.500 0.500
Y 0.750 0.750 0.750

Results
Calculated density = 1.50 g/cm3
Space group = No. 216
Volume = 316.08 Å³/f.u.
Crystal system = cubic
Magnetic moment = 0.0 μB per cell
DFT formation energy = 0.477 eV per atom

---

No. 13
Compound: Sm2ZnGe4Rh3
Source: Alexandria
Functional: PBE
Structure: relaxed

abc: 4.251 4.251 10.246
angles: 90.00 90.00 90.00
Fractional positions:
Sm 0.000 0.500 0.243
Sm 0.500 0.000 0.757
Zn 0.000 0.000 0.500
Ge 0.000 0.000 0.000
Ge 0.000 0.500 0.639
Ge 0.500 0.000 0.361
Ge 0.500 0.500 0.000
Rh 0.000 0.500 0.876
Rh 0.500 0.000 0.124
Rh 0.500 0.500 0.500

Results
Calculated density = 8.66 g/cm3
Space group = No. 115
Volume = 185.18 Å³/f.u.
Crystal system = tetragonal
Magnetic moment = 0.0 μB per cell
DFT formation energy = -0.749 eV per atom

---

No. 14
Compound: Tm5RhSe4
Source: Alexandria
Functional: PBE
Structure: relaxed

abc: 14.773 14.773 14.773
angles: 164.46 164.46 22.04
Fractional positions:
Tm 0.000 0.000 0.000
Tm 0.207 0.207 0.000
Tm 0.408 0.408 0.000
Tm 0.592 0.592 0.000
Tm 0.793 0.793 0.000
Rh 0.500 0.500 0.000
Se 0.107 0.107 0.000
Se 0.306 0.306 0.000
Se 0.694 0.694 0.000
Se 0.893 0.893 0.000

Results
Calculated density = 9.07 g/cm3
Space group = No. 139
Volume = 231.31 Å³/f.u.
Raw total energy = -5.8633 eV per atom
Crystal system = tetragonal
Magnetic moment = 0.0 μB per cell

---

No. 15
Compound: Ca2InPb2
Source: Alexandria
Functional: PBE
Structure: relaxed

abc: 8.046 8.046 9.624
angles: 90.00 90.00 90.00
Fractional positions:
Ca 0.164 0.334 0.000
Ca 0.166 0.336 0.500
Ca 0.334 0.836 0.000
Ca 0.336 0.834 0.500
Ca 0.664 0.166 0.500
Ca 0.666 0.164 0.000
Ca 0.834 0.664 0.500
Ca 0.836 0.666 0.000
In 0.000 0.000 0.316
In 0.000 0.000 0.684
In 0.500 0.500 0.184
In 0.500 0.500 0.816
Pb 0.139 0.639 0.250
Pb 0.139 0.639 0.750
Pb 0.361 0.139 0.250
Pb 0.361 0.139 0.750
Pb 0.639 0.861 0.250
Pb 0.639 0.861 0.750
Pb 0.861 0.361 0.250
Pb 0.861 0.361 0.750

Results
Calculated density = 6.50 g/cm3
Space group = No. 128
Volume = 155.76 Å³/f.u.
Energy above the lowest structure with this stoichiometry = 0 meV/atom
Crystal system = tetragonal
Magnetic moment = 0.0 μB per cell
DFT formation energy = -0.410 eV per atom

---

No. 16
Compound: DyZnHgAu
Source: Alexandria
Functional: PBE
Structure: relaxed

abc: 4.893 4.893 4.893
angles: 60.00 60.00 60.00
Fractional positions:
Dy 0.000 0.000 0.000
Zn 0.500 0.500 0.500
Hg 0.750 0.750 0.750
Au 0.250 0.250 0.250

Results
Calculated density = 12.54 g/cm3
Space group = No. 216
Volume = 82.83 Å³/f.u.
Crystal system = cubic
Magnetic moment = 0.0 μB per cell
DFT formation energy = -0.475 eV per atom

---

No. 17
Compound: Pm3CoAg
Source: Alexandria
Functional: PBE
Structure: relaxed

abc: 5.264 5.264 5.264
angles: 90.00 90.00 90.00
Fractional positions:
Pm 0.000 0.000 0.500
Pm 0.000 0.500 0.000
Pm 0.500 0.000 0.000
Co 0.000 0.000 0.000
Ag 0.500 0.500 0.500

Results
Calculated density = 6.85 g/cm3
Space group = No. 221
Volume = 145.88 Å³/f.u.
Energy above the lowest structure with this stoichiometry = 169 meV/atom
Crystal system = cubic
Magnetic moment = 0.0 μB per cell
DFT formation energy = 0.028 eV per atom

---

No. 18
Compound: Ca2SmAg3
Source: Alexandria
Functional: PBE
Structure: relaxed

abc: 3.726 3.726 11.087
angles: 90.00 90.00 90.00
Fractional positions:
Ca 0.000 0.000 0.168
Ca 0.000 0.000 0.832
Sm 0.000 0.000 0.500
Ag 0.500 0.500 0.000
Ag 0.500 0.500 0.341
Ag 0.500 0.500 0.659

Results
Calculated density = 5.98 g/cm3
Space group = No. 123
Volume = 153.95 Å³/f.u.
Crystal system = tetragonal
Magnetic moment = 0.0 μB per cell
DFT formation energy = -0.303 eV per atom

---

No. 19
Compound: AgGe3Br7
Source: Alexandria
Functional: PBE
Structure: relaxed

abc: 7.658 7.658 7.658
angles: 98.77 98.77 98.77
Fractional positions:
Ag 0.000 0.000 0.000
Ge 0.175 0.546 0.546
Ge 0.546 0.175 0.546
Ge 0.546 0.546 0.175
Br 0.204 0.806 0.806
Br 0.245 0.245 0.245
Br 0.408 0.408 0.747
Br 0.408 0.747 0.408
Br 0.747 0.408 0.408
Br 0.806 0.204 0.806
Br 0.806 0.806 0.204

Results
Calculated density = 3.41 g/cm3
Space group = No. 160
Volume = 431.59 Å³/f.u.
Raw total energy = -3.0312 eV per atom
Crystal system = trigonal
Magnetic moment = 0.0 μB per cell

---

No. 20
Compound: Cd2InGaHg2
Source: Alexandria
Functional: PBE
Structure: relaxed

abc: 7.860 7.860 7.233
angles: 90.00 90.00 43.71
Fractional positions:
Cd 0.095 0.659 0.500
Cd 0.341 0.905 0.500
Cd 0.659 0.095 0.000
Cd 0.905 0.341 0.000
In 0.368 0.632 0.161
In 0.632 0.368 0.661
Ga 0.110 0.890 0.804
Ga 0.890 0.110 0.304
Hg 0.104 0.530 0.916
Hg 0.470 0.896 0.916
Hg 0.530 0.104 0.416
Hg 0.896 0.470 0.416

Results
Calculated density = 8.72 g/cm3
Space group = No. 36
Volume = 154.39 Å³/f.u.
Crystal system = orthorhombic
Magnetic moment = 0.0 μB per cell
DFT formation energy = 0.062 eV per atom